1.
Material: YV3S
Method: DFT, PBE-GGA
State: optimized geometry

Cell lengths 4.8396, 4.8396, 4.8396 Å; angles 90.00, 90.00, 90.00 degrees
Space group Pm-3m (No. 221)
Symmetry-distinct sites (fractional):
Y1 0.0000 0.0000 0.0000 (multiplicity 1)
V1 0.0000 0.0000 0.5000 (multiplicity 3)
S1 0.5000 0.5000 0.5000 (multiplicity 1)

Properties
The value obtained for the total energy is -27.2 eV per cell. The value obtained for the density of states at the Fermi level is 8.2 states/eV/f.u. The value obtained for the uncorrected formation energy is 2.16 eV per atom. The energy above the most stable polymorph in this dataset comes out at 11.001 eV/f.u.

2.
Material: CaCrSb2I
Method: DFT, PBE-GGA
State: optimized geometry

Cell lengths 5.1074, 5.1074, 5.9264 Å; angles 90.00, 90.00, 90.00 degrees
Space group P4/mmm (No. 123)
Symmetry-distinct sites (fractional):
Ca1 0.0000 0.0000 0.0000 (multiplicity 1)
Cr1 0.5000 0.5000 0.5000 (multiplicity 1)
Sb1 0.0000 0.5000 0.5000 (multiplicity 2)
I1 0.5000 0.5000 0.0000 (multiplicity 1)

Properties
The value obtained for the total energy is -21.8 eV per cell. The value obtained for the density of states at the Fermi level is 4.1 states/eV/f.u. The value obtained for the uncorrected formation energy is -0.07 eV per atom. The energy above the most stable polymorph in this dataset comes out at 0.000 eV/f.u.

3.
Material: Rb12Na5Hg3
Method: DFT, PBE-GGA
State: optimized geometry

Cell lengths 22.8018, 22.8018, 22.8018 Å; angles 90.00, 90.00, 90.00 degrees
Space group Ia-3d (No. 230)
Symmetry-distinct sites (fractional):
Rb1 0.0207 0.0841 0.6508 (multiplicity 96)
Na1 0.0000 0.0000 0.0000 (multiplicity 16)
Na2 0.0000 0.2500 0.3750 (multiplicity 24)
Hg1 0.0000 0.2500 0.1250 (multiplicity 24)

Properties
The value obtained for the total energy is -137.8 eV per cell. The value obtained for the density of states at the Fermi level is 17.1 states/eV/f.u. As for the formation energy: 182.3 kJ/mol of formula units.

Repeat the second record exactly.
Material: CaCrSb2I
Method: DFT, PBE-GGA
State: optimized geometry

Cell lengths 5.1074, 5.1074, 5.9264 Å; angles 90.00, 90.00, 90.00 degrees
Space group P4/mmm (No. 123)
Symmetry-distinct sites (fractional):
Ca1 0.0000 0.0000 0.0000 (multiplicity 1)
Cr1 0.5000 0.5000 0.5000 (multiplicity 1)
Sb1 0.0000 0.5000 0.5000 (multiplicity 2)
I1 0.5000 0.5000 0.0000 (multiplicity 1)

Properties
The value obtained for the total energy is -21.8 eV per cell. The value obtained for the density of states at the Fermi level is 4.1 states/eV/f.u. The value obtained for the uncorrected formation energy is -0.07 eV per atom. The energy above the most stable polymorph in this dataset comes out at 0.000 eV/f.u.

Number 2 is which compound?
CaCrSb2I

Which formula does entry 2 have?
CaCrSb2I